Entry from Alexandria via LeMat-Bulk: crystalline TlHgSeN2 at its relaxed geometry (PBE-GGA).

For the energy above the most stable polymorph in this dataset, the calculation gives 0.0427 eV per atom. The formation energy (no corrections) is 1.666 eV/atom.

abc: 4.365 4.365 6.036
angles: 90.00 90.00 90.00
Space group P4/mmm (No. 123)
Symmetry-distinct sites (fractional):
Tl 0.000 0.000 0.000 (multiplicity 1)
Hg 0.500 0.500 0.500 (multiplicity 1)
Se 0.000 0.000 0.500 (multiplicity 1)
N 0.000 0.500 0.000 (multiplicity 2)